VASP calculation (GGA-PBE) on a relaxed structure of HfSc2Pt.

Lattice parameters (Å, degrees): 7.846 7.846 6.249 51.11 51.11 90.00
Fractional positions:
Sc  0.678  0.125  0.250
Sc  0.072  0.625  0.250
Sc  0.375  0.322  0.750
Sc  0.875  0.928  0.750
Hf  0.500  0.500  0.000
Hf  0.250  0.750  0.500
Pt  0.000  0.000  0.000
Pt  0.750  0.250  0.500

Summary:
- Energy above the most stable polymorph in this dataset: 0.2749 eV/atom
- Calculated formation energy: -0.3205 eV/atom
- Total DFT energy (no corrections): -7.48 eV per atom
- Space-group type: I-42d, No. 122
- Volume: 22.12 Å³/atom
- D(E_F): 5.28 states/eV per cell